(1)
This record from the Alexandria database describes a relaxed Tb5ErPb4 crystal. The functional is GGA-PBE.

Values from the calculation:
Space-group type: C2/m (12)
Size of the total moment in μB per formula unit: 0.00
DFT total energy in eV/atom: -4.458
Calculated formation energy in eV/atom: -0.20

```
Tb5ErPb4
1.0
8.832 -1.829 0.000
8.832 1.829 0.000
-0.316 0.000 9.782
Tb Er Pb
5 1 4
direct
0.000 0.000 0.000
0.310 0.310 0.112
0.345 0.345 0.741
0.655 0.655 0.259
0.690 0.690 0.888
0.000 0.000 0.500
0.181 0.181 0.568
0.474 0.474 0.252
0.526 0.526 0.748
0.819 0.819 0.432
```


(2)
This record from the Alexandria database describes a relaxed ReAgPt crystal. The functional is GGA-PBE.

Values from the calculation:
Space-group type: P-6m2 (187)
Size of the total moment in μB per formula unit: 0.00
DFT total energy in eV/atom: -6.680
Relative energy among the computed polymorphs in eV per formula unit: 1.439
Calculated formation energy in eV/atom: 0.43

```
ReAgPt
1.0
4.562 0.000 0.000
-2.281 3.951 0.000
0.000 0.000 2.688
Re Ag Pt
1 1 1
direct
0.000 0.000 0.000
0.667 0.333 0.500
0.333 0.667 0.000
```


(3)
This record from the Alexandria database describes a relaxed Ca2GaReTe crystal. The functional is GGA-PBE.

Values from the calculation:
Space-group type: P4/mmm (123)
Size of the total moment in μB per formula unit: 2.25
DFT total energy in eV/atom: -4.248
Formation energy (no corrections) in kcal/mol of atoms: 6.4

```
Ca2GaReTe
1.0
5.603 0.000 0.000
0.000 5.603 0.000
0.000 0.000 4.712
Ca Ga Re Te
2 1 1 1
direct
0.000 0.500 0.000
0.500 0.000 0.000
0.000 0.000 0.000
0.000 0.000 0.500
0.500 0.500 0.500
```


(4)
This record from the Alexandria database describes a relaxed SrLi2GePb crystal. The functional is GGA-PBE.

Values from the calculation:
Space-group type: P4/mmm (123)
Size of the total moment in μB per formula unit: 0.00
DFT total energy in eV/atom: -1.835
Calculated formation energy in eV/atom: 0.93

```
SrLi2GePb
1.0
5.460 0.000 0.000
0.000 5.460 0.000
0.000 0.000 6.041
Sr Li Ge Pb
1 2 1 1
direct
0.000 0.000 0.000
0.000 0.500 0.000
0.500 0.000 0.000
0.500 0.500 0.500
0.000 0.000 0.500
```


(5)
This record from the Alexandria database describes a relaxed Cs2Y2Sc crystal. The functional is GGA-PBE.

Values from the calculation:
Space-group type: P4/mbm (127)
Size of the total moment in μB per formula unit: 0.00
DFT total energy in eV/atom: -3.074
Relative energy among the computed polymorphs in eV per formula unit: 0.944
Calculated formation energy in eV/atom: 1.12

```
Cs2Y2Sc
1.0
10.022 0.000 0.000
0.000 10.022 0.000
0.000 0.000 3.810
Cs Y Sc
4 4 2
direct
0.127 0.373 0.000
0.373 0.873 0.000
0.627 0.127 0.000
0.873 0.627 0.000
0.181 0.681 0.500
0.319 0.181 0.500
0.681 0.819 0.500
0.819 0.319 0.500
0.000 0.000 0.000
0.500 0.500 0.000
```


(6)
This record from the Alexandria database describes a relaxed Ba2ScTc crystal. The functional is GGA-PBE.

Values from the calculation:
Space-group type: I-42d (122)
Size of the total moment in μB per formula unit: 0.00
DFT total energy in eV/atom: -4.534
Relative energy among the computed polymorphs in eV per formula unit: 1.023
Calculated formation energy in eV/atom: 0.60

```
Ba2ScTc
1.0
-6.038 6.038 2.431
6.038 -6.038 2.431
6.038 6.038 -2.431
Ba Sc Tc
4 2 2
direct
0.375 0.196 0.321
0.804 0.125 0.179
0.875 0.054 0.679
0.946 0.625 0.821
0.250 0.750 0.500
0.500 0.500 0.000
0.000 0.000 0.000
0.750 0.250 0.500
```


(7)
This record from the Alexandria database describes a relaxed Li5CaHg crystal. The functional is GGA-PBE.

Values from the calculation:
Space-group type: P4/mmm (123)
Size of the total moment in μB per formula unit: 0.00
DFT total energy in eV/atom: -1.793
Calculated formation energy in eV/atom: -0.10

```
Li5CaHg
1.0
4.032 0.000 0.000
0.000 4.032 0.000
0.000 0.000 9.874
Li Ca Hg
5 1 1
direct
0.000 0.000 0.000
0.000 0.500 0.214
0.000 0.500 0.786
0.500 0.000 0.214
0.500 0.000 0.786
0.000 0.000 0.500
0.500 0.500 0.000
```


(8)
This record from the Alexandria database describes a relaxed PuBe3Si2 crystal. The functional is GGA-PBE.

Values from the calculation:
Space-group type: C2/m (12)
Size of the total moment in μB per formula unit: 5.58
DFT total energy in eV/atom: -6.214
Formation energy (no corrections) in kcal/mol of atoms: -3.6

```
PuBe3Si2
1.0
7.173 -1.859 0.000
7.173 1.859 0.000
-2.814 0.000 6.188
Pu Be Si
2 6 4
direct
0.148 0.148 0.070
0.852 0.852 0.930
0.039 0.039 0.386
0.317 0.317 0.546
0.414 0.414 0.357
0.586 0.586 0.643
0.683 0.683 0.454
0.961 0.961 0.614
0.194 0.194 0.679
0.482 0.482 0.813
0.518 0.518 0.187
0.806 0.806 0.321
```


(9)
This record from the Alexandria database describes a relaxed PrTl2Sb crystal. The functional is GGA-PBE.

Values from the calculation:
Space-group type: P4/mmm (123)
Size of the total moment in μB per formula unit: 0.00
DFT total energy in eV/atom: -3.859
Formation energy (no corrections) in kcal/mol of atoms: -10.4
Relative energy among the computed polymorphs in eV per formula unit: 0.000

```
PrTl2Sb
1.0
4.823 0.000 0.000
0.000 4.823 0.000
0.000 0.000 4.968
Pr Tl Sb
1 2 1
direct
0.000 0.000 0.000
0.000 0.500 0.500
0.500 0.000 0.500
0.500 0.500 0.000
```


(10)
This record from the Alexandria database describes a relaxed CoTcBiS2 crystal. The functional is GGA-PBE.

Values from the calculation:
Space-group type: P4/mmm (123)
Size of the total moment in μB per formula unit: 0.00
DFT total energy in eV/atom: -5.440
Formation energy (no corrections) in kcal/mol of atoms: 11.1

```
CoTcBiS2
1.0
4.612 0.000 0.000
0.000 4.612 0.000
0.000 0.000 4.587
Co Tc Bi S
1 1 1 2
direct
0.000 0.000 0.000
0.000 0.000 0.500
0.500 0.500 0.000
0.000 0.500 0.500
0.500 0.000 0.500
```


(11)
This record from the Alexandria database describes a relaxed SrSiTc2 crystal. The functional is GGA-PBE.

Values from the calculation:
Space-group type: P4/mmm (123)
Size of the total moment in μB per formula unit: 0.00
DFT total energy in eV/atom: -6.136
Formation energy (no corrections) in kcal/mol of atoms: 19.0

```
SrSiTc2
1.0
4.087 0.000 0.000
0.000 4.087 0.000
0.000 0.000 4.303
Sr Si Tc
1 1 2
direct
0.000 0.000 0.000
0.500 0.500 0.000
0.000 0.500 0.500
0.500 0.000 0.500
```


(12)
This record from the Alexandria database describes a relaxed NbHgSeBr2 crystal. The functional is GGA-PBE.

Values from the calculation:
Space-group type: P4/mmm (123)
Size of the total moment in μB per formula unit: 0.00
DFT total energy in eV/atom: -3.788
Formation energy (no corrections) in kcal/mol of atoms: -8.0
Relative energy among the computed polymorphs in eV per formula unit: 0.000

```
NbHgSeBr2
1.0
5.297 0.000 0.000
0.000 5.297 0.000
0.000 0.000 5.019
Nb Hg Se Br
1 1 1 2
direct
0.000 0.000 0.000
0.500 0.500 0.500
0.000 0.000 0.500
0.000 0.500 0.000
0.500 0.000 0.000
```


> Look up the DFT total energy of the ninth one.

-3.859 eV/atom